Density functional theory data (PBE) for crystalline PrCd3Hg3 at its relaxed geometry.

a b c (Å): 6.053 6.053 6.053
angles (deg): 90.00 90.00 90.00
Fractional coordinates of all 7 atoms:
Pr 0.000 0.000 0.000
Cd 0.000 0.500 0.500
Cd 0.500 0.000 0.500
Cd 0.500 0.500 0.000
Hg 0.000 0.000 0.500
Hg 0.000 0.500 0.000
Hg 0.500 0.000 0.000

Properties
Magnetization   0.47 μB/cell
Formation energy   0.0983 eV per atom
Energy   -1.11 eV per atom
Energy relative to the lowest polymorph listed for this composition   26.1 kJ/mol of atoms

=====

Density functional theory data (PBE) for crystalline PrCd6Hg12 at its relaxed geometry.

a b c (Å): 8.518 8.518 8.518
angles (deg): 107.96 107.96 107.96
Fractional coordinates of all 19 atoms:
Pr 0.000 0.000 0.000
Cd 0.196 0.290 0.456
Cd 0.290 0.456 0.196
Cd 0.456 0.196 0.290
Cd 0.544 0.804 0.710
Cd 0.710 0.544 0.804
Cd 0.804 0.710 0.544
Hg 0.102 0.716 0.136
Hg 0.126 0.638 0.461
Hg 0.136 0.102 0.716
Hg 0.284 0.864 0.898
Hg 0.362 0.539 0.874
Hg 0.461 0.126 0.638
Hg 0.539 0.874 0.362
Hg 0.638 0.461 0.126
Hg 0.716 0.136 0.102
Hg 0.864 0.898 0.284
Hg 0.874 0.362 0.539
Hg 0.898 0.284 0.864

Properties
Magnetization   0.00 μB/cell
Formation energy   -0.0373 eV per atom
Energy   -0.77 eV per atom
Energy relative to the lowest polymorph listed for this composition   0.0 kJ/mol of atoms